Compound: SbPd2Pt2
Source: Alexandria via LeMat-Bulk
Functional: PBE
Structure: relaxed

Calculated values
N(E_F) = 7.8 states/eV per cell
ΔE to the lowest computed polymorph = 1.31 kcal/mol of atoms
final energy = -27.04 eV/f.u.

Geometry as POSCAR:
```
SbPd2Pt2
1.0
6.862 0.000 0.000
0.000 6.862 0.000
0.000 0.000 3.790
Sb Pd Pt
2 4 4
Cartesian
0.000 0.000 0.000 Sb
3.431 3.431 0.000 Sb
1.084 2.347 1.895 Pd
2.347 5.778 1.895 Pd
4.515 1.084 1.895 Pd
5.778 4.515 1.895 Pd
0.956 4.387 0.000 Pt
2.475 0.956 0.000 Pt
4.387 5.906 0.000 Pt
5.906 2.475 0.000 Pt
```

Compound: SbPdPt2
Source: Alexandria via LeMat-Bulk
Functional: PBE
Structure: relaxed

Calculated values
N(E_F) = 2.2 states/eV per cell
final energy = -21.98 eV/f.u.

Geometry as POSCAR:
```
SbPdPt2
1.0
2.221 1.282 4.358
-2.221 1.282 4.358
0.000 -2.565 4.358
Sb Pd Pt
1 1 2
Cartesian
0.000 0.000 0.000 Sb
0.000 0.000 10.466 Pd
0.000 0.000 4.814 Pt
0.000 0.000 7.573 Pt
```

Compound: SbPd4Pt2
Source: Alexandria via LeMat-Bulk
Functional: PBE
Structure: relaxed

Calculated values
N(E_F) = 6.5 states/eV per cell
ΔE to the lowest computed polymorph = 5.84 kcal/mol of atoms
final energy = -36.31 eV/f.u.

Geometry as POSCAR:
```
SbPd4Pt2
1.0
0.000 4.373 5.277
2.666 0.000 5.277
2.666 4.373 0.000
Sb Pd Pt
1 4 2
Cartesian
0.000 0.000 0.000 Sb
1.333 2.186 0.000 Pd
1.333 2.186 2.639 Pd
1.333 2.186 5.277 Pd
3.999 6.559 7.916 Pd
2.666 4.373 3.808 Pt
2.666 4.373 6.746 Pt
```

Compound: ScSbPdPt
Source: Alexandria via LeMat-Bulk
Functional: PBE
Structure: relaxed

Calculated values
N(E_F) = 2.8 states/eV per cell
final energy = -24.97 eV/f.u.

Geometry as POSCAR:
```
ScSbPdPt
1.0
0.000 3.316 3.316
3.316 0.000 3.316
3.316 3.316 0.000
Sc Sb Pd Pt
1 1 1 1
Cartesian
0.000 0.000 0.000 Sc
3.316 3.316 3.316 Sb
4.975 4.975 4.975 Pd
1.658 1.658 1.658 Pt
```

Compound: Sc2Sb2Pd7Pt
Source: Alexandria via LeMat-Bulk
Functional: PBE
Structure: relaxed

Calculated values
N(E_F) = 11.8 states/eV per cell
final energy = -68.97 eV/f.u.

Geometry as POSCAR:
```
Sc2Sb2Pd7Pt
1.0
2.981 -2.941 0.000
2.981 2.941 0.000
-0.013 0.000 12.190
Sc Sb Pd Pt
2 2 7 1
Cartesian
5.958 0.000 2.188 Sc
-0.009 0.000 10.002 Sc
2.975 0.000 2.449 Sb
2.974 0.000 9.740 Sb
-0.007 0.000 6.095 Pd
4.467 -1.470 4.200 Pd
1.482 1.470 7.990 Pd
1.589 0.000 0.002 Pd
4.467 1.470 4.200 Pd
1.482 -1.470 7.990 Pd
4.360 0.000 12.187 Pd
2.975 0.000 6.095 Pt
```

Compound: Sn2Sb2Pd7Pt
Source: Alexandria via LeMat-Bulk
Functional: PBE
Structure: relaxed

Calculated values
N(E_F) = 9.6 states/eV per cell
final energy = -61.44 eV/f.u.

Geometry as POSCAR:
```
Sn2Sb2Pd7Pt
1.0
2.788 -2.794 0.000
2.788 2.794 0.000
-1.687 0.000 15.410
Sn Sb Pd Pt
2 2 7 1
Cartesian
-0.006 0.000 3.823 Sn
3.894 0.000 11.586 Sn
1.050 0.000 9.030 Sb
2.838 0.000 6.379 Sb
0.000 0.000 0.000 Pd
1.392 1.396 2.031 Pd
0.046 0.000 6.489 Pd
2.496 1.396 13.378 Pd
1.392 -1.396 2.031 Pd
3.842 0.000 8.920 Pd
2.496 -1.396 13.378 Pd
2.788 0.000 0.000 Pt
```